Density functional theory data (PBE) for a relaxed structure of PrVPt.

Cell: 3.600 3.600 9.926 Å, 90.00 90.00 90.00°
Sites, in units of the cell vectors:
1 Pr 0.000 0.000 0.180
2 Pr 0.000 0.000 0.820
3 V 0.500 0.500 0.401
4 V 0.500 0.500 0.599
5 Pt 0.000 0.000 0.500
6 Pt 0.500 0.500 0.000

---

Density functional theory data (PBE) for a relaxed structure of Pr2YPt.

Cell: 4.019 4.019 28.128 Å, 90.00 90.00 120.00°
Sites, in units of the cell vectors:
1 Pr 0.000 0.000 0.000
2 Pr 0.000 0.000 0.208
3 Pr 0.333 0.667 0.667
4 Pr 0.333 0.667 0.875
5 Pr 0.667 0.333 0.333
6 Pr 0.667 0.333 0.541
7 Y 0.000 0.000 0.438
8 Y 0.333 0.667 0.105
9 Y 0.667 0.333 0.771
10 Pt 0.000 0.000 0.603
11 Pt 0.333 0.667 0.270
12 Pt 0.667 0.333 0.937

energy above the most stable polymorph in this dataset = 214 meV/atom

---

Density functional theory data (PBE) for a relaxed structure of Pr2YPt2.

Cell: 7.915 7.915 4.131 Å, 90.00 90.00 90.00°
Sites, in units of the cell vectors:
1 Pr 0.164 0.336 0.000
2 Pr 0.336 0.836 0.000
3 Pr 0.664 0.164 0.000
4 Pr 0.836 0.664 0.000
5 Y 0.000 0.000 0.500
6 Y 0.500 0.500 0.500
7 Pt 0.137 0.637 0.500
8 Pt 0.363 0.137 0.500
9 Pt 0.637 0.863 0.500
10 Pt 0.863 0.363 0.500

---

Density functional theory data (PBE) for a relaxed structure of Pr2YPt.

Cell: 7.219 10.158 6.597 Å, 90.00 90.00 90.00°
Sites, in units of the cell vectors:
1 Pr 0.182 0.062 0.175
2 Pr 0.182 0.438 0.175
3 Pr 0.318 0.562 0.675
4 Pr 0.318 0.938 0.675
5 Pr 0.682 0.062 0.325
6 Pr 0.682 0.438 0.325
7 Pr 0.818 0.562 0.825
8 Pr 0.818 0.938 0.825
9 Y 0.032 0.250 0.647
10 Y 0.468 0.750 0.147
11 Y 0.532 0.250 0.853
12 Y 0.968 0.750 0.353
13 Pt 0.116 0.750 0.949
14 Pt 0.384 0.250 0.449
15 Pt 0.616 0.750 0.551
16 Pt 0.884 0.250 0.051

energy above the most stable polymorph in this dataset = 0 meV/atom

---

Density functional theory data (PBE) for a relaxed structure of PrY3Pt.

Cell: 5.511 5.511 5.511 Å, 90.00 90.00 90.00°
Sites, in units of the cell vectors:
1 Pr 0.000 0.000 0.000
2 Y 0.000 0.500 0.500
3 Y 0.500 0.000 0.500
4 Y 0.500 0.500 0.000
5 Pt 0.500 0.500 0.500

energy above the most stable polymorph in this dataset = 12 meV/atom

---

Density functional theory data (PBE) for a relaxed structure of Pr5YPt4.

Cell: 9.364 9.364 8.190 Å, 105.42 105.42 26.07°
Sites, in units of the cell vectors:
1 Pr 0.000 0.000 0.000
2 Pr 0.333 0.333 0.643
3 Pr 0.334 0.334 0.154
4 Pr 0.666 0.666 0.846
5 Pr 0.667 0.667 0.357
6 Y 0.000 0.000 0.500
7 Pt 0.169 0.169 0.607
8 Pt 0.499 0.499 0.250
9 Pt 0.501 0.501 0.750
10 Pt 0.831 0.831 0.393

---

Density functional theory data (PBE) for a relaxed structure of Pr3YPt2.

Cell: 4.759 4.761 8.205 Å, 106.80 106.79 90.06°
Sites, in units of the cell vectors:
1 Pr 0.000 0.000 0.000
2 Pr 0.313 0.813 0.626
3 Pr 0.687 0.187 0.374
4 Y 0.500 0.500 0.000
5 Pt 0.125 0.624 0.251
6 Pt 0.875 0.376 0.749

---

Density functional theory data (PBE) for a relaxed structure of Pr2YPt9.

Cell: 9.509 9.509 9.509 Å, 33.35 33.35 33.35°
Sites, in units of the cell vectors:
1 Pr 0.139 0.139 0.139
2 Pr 0.861 0.861 0.861
3 Y 0.000 0.000 0.000
4 Pt 0.080 0.585 0.585
5 Pt 0.333 0.333 0.333
6 Pt 0.415 0.415 0.920
7 Pt 0.415 0.920 0.415
8 Pt 0.500 0.500 0.500
9 Pt 0.585 0.080 0.585
10 Pt 0.585 0.585 0.080
11 Pt 0.667 0.667 0.667
12 Pt 0.920 0.415 0.415

---

no.,energy relative to the elements (eV/atom),E (eV/atom)
1,-0.30,-6.946
2,-0.42,-5.933
3,-0.94,-6.564
4,-0.63,-6.147
5,-0.39,-6.433
6,-0.85,-6.299
7,-0.72,-6.200
8,-0.89,-6.756